# Ce2MgZn (PBE-GGA, relaxed)
# symmetry	Fm-3m, No. 225
# distance to the lowest polymorph of the same formula	0.065	eV per atom
# ΔH_f (0 K)	0.00	eV per atom
# uncorrected energy	-14.75	eV per cell
data_Ce2MgZn
_chemical_formula_sum 'Ce2 Mg1 Zn1'
_cell_length_a 5.248
_cell_length_b 5.248
_cell_length_c 5.248
_cell_angle_alpha 60.00
_cell_angle_beta 60.00
_cell_angle_gamma 60.00
_symmetry_space_group_name_H-M 'P 1'
_symmetry_Int_Tables_number 1
_symmetry_space_group_name_Hall 'P 1'
loop_
_atom_site_label
_atom_site_type_symbol
_atom_site_fract_x
_atom_site_fract_y
_atom_site_fract_z
Ce1 Ce 0.250 0.250 0.250
Ce2 Ce 0.750 0.750 0.750
Mg1 Mg 0.000 0.000 0.000
Zn1 Zn 0.500 0.500 0.500